The following is a GGA+U calculation of LiMn2O3F after structural relaxation, from Alexandria via LeMat-Bulk.

Calculated values
- Excess energy over the best structure of this formula in the dataset: 2 meV per atom
- Final energy: -188.951 eV/cell

Cell: 6.153 6.153 10.215 Å, 106.65 106.65 60.01°
Fractional positions:
Li1 0.184 0.712 0.590
Li2 0.288 0.816 0.910
Li3 0.712 0.184 0.090
Li4 0.816 0.288 0.410
Mn1 0.000 0.500 0.000
Mn2 0.232 0.270 0.749
Mn3 0.270 0.232 0.249
Mn4 0.275 0.725 0.250
Mn5 0.500 0.000 0.500
Mn6 0.725 0.275 0.750
Mn7 0.730 0.768 0.751
Mn8 0.768 0.730 0.251
O1 0.076 0.182 0.858
O2 0.076 0.614 0.860
O3 0.182 0.076 0.358
O4 0.369 0.381 0.149
O5 0.381 0.369 0.649
O6 0.386 0.924 0.640
O7 0.614 0.076 0.360
O8 0.619 0.631 0.351
O9 0.631 0.619 0.851
O10 0.818 0.924 0.642
O11 0.924 0.386 0.140
O12 0.924 0.818 0.142
F1 0.142 0.615 0.393
F2 0.385 0.858 0.107
F3 0.615 0.142 0.893
F4 0.858 0.385 0.607